Material: YHfNiRh
Method: DFT, PBE
State: relaxed

Total energy = -0.29168 Ha/atom
Mass density = 9.7 g cm⁻³
M_tot = 0.00 μB per formula unit
Formation enthalpy at 0 K = -549 meV/atom

Cell: 4.705 4.705 4.705 Å, 60.00 60.00 60.00°
Sites, in units of the cell vectors:
Y 0.750 0.750 0.750
Rh 0.500 0.500 0.500
Hf 0.250 0.250 0.250
Ni 0.000 0.000 0.000